VASP calculation (GGA-PBE) on a relaxed Mg2ZnCl crystal.

Summary:
Energy relative to the elements, uncorrected (eV per atom): -0.11
Fermi-level density of states (states/eV/f.u.): 2.31
Symmetry: Fm-3m, No. 225
Relative energy among the computed polymorphs (meV per atom): 444

Unit cell a=5.056 b=5.056 c=5.056 alpha=60.00 beta=60.00 gamma=60.00
Positions (direct):
Cl  0.000  0.000  0.000
Zn  0.500  0.500  0.500
Mg  0.250  0.250  0.250
Mg  0.750  0.750  0.750

=====

VASP calculation (GGA-PBE) on a relaxed Mg2ZnCl crystal.

Summary:
Energy relative to the elements, uncorrected (eV per atom): -0.27
Fermi-level density of states (states/eV/f.u.): 1.26
Symmetry: I-4m2, No. 119
Relative energy among the computed polymorphs (meV per atom): 282

Unit cell a=6.183 b=6.183 c=6.183 alpha=142.59 beta=142.59 gamma=53.94
Positions (direct):
Mg  0.000  0.000  0.000
Mg  0.250  0.750  0.500
Zn  0.500  0.500  0.000
Cl  0.750  0.250  0.500

=====

VASP calculation (GGA-PBE) on a relaxed Mg2ZnCl crystal.

Summary:
Energy relative to the elements, uncorrected (eV per atom): 0.02
Fermi-level density of states (states/eV/f.u.): 3.18
Symmetry: F-43m, No. 216
Relative energy among the computed polymorphs (meV per atom): 572

Unit cell a=5.154 b=5.154 c=5.154 alpha=60.00 beta=60.00 gamma=60.00
Positions (direct):
Mg  0.250  0.250  0.250
Mg  0.000  0.000  0.000
Zn  0.750  0.750  0.750
Cl  0.500  0.500  0.500

=====

VASP calculation (GGA-PBE) on a relaxed MgZnCl2 crystal.

Summary:
Energy relative to the elements, uncorrected (eV per atom): -0.96
Symmetry: Cmmm, No. 65
Relative energy among the computed polymorphs (meV per atom): 203

Unit cell a=3.840 b=3.840 c=10.907 alpha=90.00 beta=90.00 gamma=125.36
Positions (direct):
Cl  0.000  0.000  0.399
Cl  0.000  0.000  0.101
Zn  0.500  0.500  0.750
Mg  0.500  0.500  0.250

=====

VASP calculation (GGA-PBE) on a relaxed MgZnCl2 crystal.

Summary:
Energy relative to the elements, uncorrected (eV per atom): -1.04
Fermi-level density of states (states/eV/f.u.): 0.00
Symmetry: Cm, No. 8
Relative energy among the computed polymorphs (meV per atom): 124

Unit cell a=7.048 b=7.048 c=6.066 alpha=58.38 beta=58.38 gamma=28.79
Positions (direct):
Mg  0.602  0.602  0.207
Cl  0.171  0.171  0.372
Cl  0.965  0.965  0.235
Zn  0.761  0.761  0.686

=====

VASP calculation (GGA-PBE) on a relaxed MgZnCl3 crystal.

Summary:
Energy relative to the elements, uncorrected (eV per atom): -0.98
Fermi-level density of states (states/eV/f.u.): 2.20
Symmetry: Pm-3m, No. 221
Relative energy among the computed polymorphs (meV per atom): 0

Unit cell a=4.924 b=4.924 c=4.924 alpha=90.00 beta=90.00 gamma=90.00
Each line ends with the local moment (μB).
Positions (direct):
Zn  0.500  0.500  0.500  0.33
Mg  0.000  0.000  0.000  0.00
Cl  0.000  0.000  0.500  0.04
Cl  0.500  0.000  0.000  0.04
Cl  0.000  0.500  0.000  0.05

=====

Q: What is the relative energy among the computed polymorphs in the second record?
A: 282 meV per atom